Computed, not measured: a relaxed LiCu3O4 crystal at the PBEsol level of DFT.

Cell lengths 5.647, 5.647, 6.219 Å; angles 118.79, 118.79, 85.71 degrees
Positions (direct):
Li  0.000  0.500  0.000
Li  0.500  0.000  0.500
Cu  0.000  0.000  0.000
Cu  0.000  0.000  0.500
Cu  0.000  0.500  0.500
Cu  0.500  0.000  0.000
Cu  0.500  0.500  0.000
Cu  0.500  0.500  0.500
O  0.203  0.703  0.451
O  0.219  0.242  0.407
O  0.242  0.219  0.907
O  0.297  0.797  0.049
O  0.703  0.203  0.951
O  0.758  0.781  0.093
O  0.781  0.758  0.593
O  0.797  0.297  0.549

Symmetry: C2/c, No. 15
Raw total energy, eV/atom: -5.314
Raw formation energy, eV/atom: -0.82